Record 1
Compound: LiIn4Ir2
Source: Alexandria
Functional: PBE
Structure: relaxed

E in eV/atom: -4.483
Energy of formation from the pure elements in eV/atom: -0.11

```
LiIn4Ir2
1.0
2.234 1.290 8.976
-2.234 1.290 8.976
0.000 -2.580 8.976
Li In Ir
1 4 2
direct
0.000 0.000 0.000
0.200 0.200 0.200
0.394 0.394 0.394
0.606 0.606 0.606
0.800 0.800 0.800
0.097 0.097 0.097
0.903 0.903 0.903
```

***

Record 2
Compound: PuCo2Br8
Source: Alexandria
Functional: PBE
Structure: relaxed

E in eV/atom: -4.546

```
PuCo2Br8
1.0
6.130 -5.268 0.000
6.130 5.268 0.000
-0.378 0.000 6.507
Pu Co Br
1 2 8
direct
0.000 0.000 0.000
0.198 0.198 0.646
0.802 0.802 0.354
0.081 0.714 0.237
0.189 0.189 0.277
0.286 0.919 0.763
0.376 0.376 0.758
0.624 0.624 0.242
0.714 0.081 0.237
0.811 0.811 0.723
0.919 0.286 0.763
```

***

Record 3
Compound: Sm3Co4Ge13
Source: Alexandria
Functional: PBE
Structure: relaxed

E in eV/atom: -5.544
Energy of formation from the pure elements in eV/atom: -0.41

```
Sm3Co4Ge13
1.0
8.857 0.000 0.000
0.000 8.857 0.000
0.000 0.000 8.857
Sm Co Ge
6 8 26
direct
0.000 0.250 0.500
0.000 0.750 0.500
0.250 0.500 0.000
0.500 0.000 0.250
0.500 0.000 0.750
0.750 0.500 0.000
0.250 0.250 0.250
0.250 0.250 0.750
0.250 0.750 0.250
0.250 0.750 0.750
0.750 0.250 0.250
0.750 0.250 0.750
0.750 0.750 0.250
0.750 0.750 0.750
0.000 0.000 0.000
0.000 0.301 0.153
0.000 0.301 0.847
0.000 0.699 0.153
0.000 0.699 0.847
0.153 0.000 0.301
0.153 0.000 0.699
0.199 0.500 0.347
0.199 0.500 0.653
0.301 0.153 0.000
0.301 0.847 0.000
0.347 0.199 0.500
0.347 0.801 0.500
0.500 0.347 0.199
0.500 0.347 0.801
0.500 0.500 0.500
0.500 0.653 0.199
0.500 0.653 0.801
0.653 0.199 0.500
0.653 0.801 0.500
0.699 0.153 0.000
0.699 0.847 0.000
0.801 0.500 0.347
0.801 0.500 0.653
0.847 0.000 0.301
0.847 0.000 0.699
```

***

Record 4
Compound: Tm2Si2Ni3
Source: Alexandria
Functional: PBE
Structure: relaxed

E in eV/atom: -6.040

```
Tm2Si2Ni3
1.0
5.035 -1.846 0.000
5.035 1.846 0.000
-2.963 0.000 5.920
Tm Si Ni
2 2 3
direct
0.134 0.134 0.261
0.866 0.866 0.739
0.144 0.144 0.720
0.856 0.856 0.280
0.366 0.366 0.070
0.500 0.500 0.500
0.634 0.634 0.930
```

***

Record 5
Compound: CaNb2Sb2
Source: Alexandria
Functional: PBE
Structure: relaxed

E in eV/atom: -6.435

```
CaNb2Sb2
1.0
-2.078 2.078 7.177
2.078 -2.078 7.177
2.078 2.078 -7.177
Ca Nb Sb
1 2 2
direct
0.000 0.000 0.000
0.250 0.750 0.500
0.750 0.250 0.500
0.385 0.385 0.000
0.615 0.615 0.000
```

***

Record 6
Compound: Ac2Cd3Cu2
Source: Alexandria
Functional: PBE
Structure: relaxed

E in eV/atom: -2.902
Energy of formation from the pure elements in eV/atom: -0.17

```
Ac2Cd3Cu2
1.0
2.203 -10.611 0.000
2.203 10.611 0.000
0.000 0.000 3.995
Ac Cd Cu
2 3 2
direct
0.167 0.833 0.000
0.833 0.167 0.000
0.000 0.000 0.000
0.429 0.571 0.500
0.571 0.429 0.500
0.282 0.718 0.500
0.718 0.282 0.500
```